# 1
First-principles (PBE-GGA) data for a relaxed ZnAgIr crystal, as listed in Alexandria.

Cell lengths 5.0567, 5.0567, 5.0567 Å; angles 147.99, 136.45, 55.06 degrees
Closest atoms and distances in Å follow each position.
Fractional positions:
Zn  0.3195  0.3195  0.0000  4 Ir 2.64, 2 Zn 2.79, 5 Ag 2.83-2.88
Ag  0.9980  0.9980  0.0000  2 Ag 2.79, 5 Ir 2.83-2.86, 5 Zn 2.83-2.88
Ir  0.6825  0.6825  0.0000  4 Zn 2.64, 2 Ir 2.79, 5 Ag 2.83-2.86

Results
The electronic total energy comes out at -4.156 eV per atom. Its symmetry is No. 44.

# 2
First-principles (PBE-GGA) data for a relaxed ZnAg3Ir crystal, as listed in Alexandria.

Cell lengths 4.6561, 4.6561, 4.6561 Å; angles 90.00, 90.00, 90.00 degrees
Closest atoms and distances in Å follow each position.
Fractional positions:
Ag  0.0000  0.5000  0.0000  2 Zn 2.33
Ag  0.5000  0.0000  0.0000  2 Zn 2.33
Ag  0.0000  0.0000  0.5000  2 Zn 2.33
Ir  0.5000  0.5000  0.5000  12 Ag 3.29
Zn  0.0000  0.0000  0.0000  6 Ag 2.33

Results
The electronic total energy comes out at -2.596 eV per atom. Its symmetry is No. 221.

# 3
First-principles (PBE-GGA) data for a relaxed ZnAg2Ir crystal, as listed in Alexandria.

Cell lengths 3.0864, 4.4421, 4.6372 Å; angles 90.00, 90.00, 90.00 degrees
Closest atoms and distances in Å follow each position.
Fractional positions:
Ir  0.5000  0.0000  0.5000  4 Zn 2.70, 4 Ag 2.79
Zn  0.0000  0.5000  0.5000  4 Ir 2.70, 4 Ag 2.79
Ag  0.5000  0.5000  0.0000  4 Ag 2.70, 4 Zn 2.79
Ag  0.0000  0.0000  0.0000  4 Ag 2.70, 4 Ir 2.79

Results
The electronic total energy comes out at -3.826 eV per atom. Its symmetry is No. 47.

no.,ΔH_f (0 K) (eV per formula unit)
1,0.5
2,5.7
3,0.5